(1)
BeMo2W: relaxed, PBE-GGA.

Unit cell a=2.668 b=2.668 c=8.078 alpha=90.00 beta=90.00 gamma=90.00
Space group P4/mmm (No. 123)
One atom of each set of equivalent atoms:
Be 0.000 0.000 0.000 [1 per cell]
Mo 0.500 0.500 0.214 [2 per cell]
W 0.000 0.000 0.500 [1 per cell]

Results
- DFT formation energy (meV per atom) = 213


(2)
LaAlCr2: relaxed, PBE-GGA.

Unit cell a=3.1199 b=3.1199 c=28.1627 alpha=90.00 beta=90.00 gamma=120.00
Space group R-3m (No. 166, hexagonal axes)
One atom of each set of equivalent atoms:
La 0.0000 0.0000 0.0000 [3 per cell]
Al 0.0000 0.0000 0.5000 [3 per cell]
Cr 0.0000 0.0000 0.2383 [6 per cell]

Results
- DFT formation energy (meV per atom) = 657


(3)
Fe2RhW: relaxed, PBE-GGA.

Unit cell a=8.831 b=2.704 c=4.553 alpha=90.00 beta=100.29 gamma=90.00
Space group Cm (No. 8)
One atom of each set of equivalent atoms:
Fe 0.000 0.000 0.000 [2 per cell]
Fe 0.245 0.500 0.229 [2 per cell]
Rh 0.489 0.000 0.483 [2 per cell]
W 0.243 0.000 0.737 [2 per cell]

Results
- DFT formation energy (meV per atom) = 81


(4)
Cd3Se: relaxed, PBE-GGA.

Unit cell a=6.026 b=8.491 c=8.029 alpha=90.00 beta=90.00 gamma=90.00
Space group Pnma (No. 62)
One atom of each set of equivalent atoms:
Cd 0.083 0.250 0.246 [4 per cell]
Cd 0.136 0.041 0.856 [8 per cell]
Se 0.024 0.750 0.407 [4 per cell]

Results
- formation energy (no corrections) (meV/atom) = -162


(5)
Ce3Bi2P2Rh4: relaxed, PBE-GGA.

Unit cell a=4.4305 b=4.4305 c=13.5272 alpha=90.00 beta=90.00 gamma=120.00
Space group P-3m1 (No. 164)
One atom of each set of equivalent atoms:
Ce 0.0000 0.0000 0.0000 [1 per cell]
Ce 0.0000 0.0000 0.2547 [2 per cell]
Bi 0.3333 0.6667 0.5742 [2 per cell]
P 0.3333 0.6667 0.1454 [2 per cell]
Rh 0.3333 0.6667 0.3462 [2 per cell]
Rh 0.3333 0.6667 0.8747 [2 per cell]

Results
- DFT formation energy (meV per atom) = -808


(6)
KNa2MgPb: relaxed, PBE-GGA.

Unit cell a=6.113 b=6.113 c=5.650 alpha=90.00 beta=90.00 gamma=90.00
Space group P4/mmm (No. 123)
One atom of each set of equivalent atoms:
K 0.000 0.000 0.000 [1 per cell]
Na 0.000 0.500 0.500 [2 per cell]
Mg 0.500 0.500 0.000 [1 per cell]
Pb 0.500 0.500 0.500 [1 per cell]

Results
- DFT formation energy (meV per atom) = 12


(7)
TlP3W: relaxed, PBE-GGA.

Unit cell a=4.790 b=4.790 c=4.790 alpha=90.00 beta=90.00 gamma=90.00
Space group Pm-3m (No. 221)
One atom of each set of equivalent atoms:
Tl 0.000 0.000 0.000 [1 per cell]
P 0.000 0.500 0.500 [3 per cell]
W 0.500 0.500 0.500 [1 per cell]

Results
- DFT formation energy (meV per atom) = 354


(8)
Tb4TlTe5: relaxed, PBE-GGA.

Unit cell a=21.044 b=4.390 c=8.570 alpha=90.00 beta=105.85 gamma=90.00
Space group C2/m (No. 12)
One atom of each set of equivalent atoms:
Tb 0.036 0.000 0.258 [4 per cell]
Tb 0.173 0.500 0.533 [4 per cell]
Tl 0.000 0.500 0.500 [2 per cell]
Te 0.000 0.500 0.000 [2 per cell]
Te 0.110 0.000 0.694 [4 per cell]
Te 0.183 0.000 0.283 [4 per cell]

Results
- formation energy (no corrections) (meV/atom) = -1077


(9)
Sr2NiPSe: relaxed, PBE-GGA.

Unit cell a=5.796 b=5.796 c=4.836 alpha=90.00 beta=90.00 gamma=90.00
Space group P4/mmm (No. 123)
One atom of each set of equivalent atoms:
Sr 0.000 0.500 0.000 [2 per cell]
Ni 0.000 0.000 0.500 [1 per cell]
P 0.500 0.500 0.500 [1 per cell]
Se 0.500 0.500 0.000 [1 per cell]

Results
- formation energy (no corrections) (meV/atom) = 56


(10)
La3PaPt3: relaxed, PBE-GGA.

Unit cell a=17.263 b=7.727 c=11.827 alpha=90.00 beta=90.00 gamma=90.00
Space group Cmce (No. 64)
One atom of each set of equivalent atoms:
La 0.000 0.162 0.208 [8 per cell]
La 0.179 0.131 0.873 [16 per cell]
Pa 0.079 0.000 0.500 [8 per cell]
Pt 0.000 0.177 0.945 [8 per cell]
Pt 0.159 0.242 0.627 [16 per cell]

Results
- DFT formation energy (meV per atom) = -810


(11)
Tl2Co: relaxed, PBE-GGA.

Unit cell a=12.199 b=3.450 c=8.357 alpha=90.00 beta=125.10 gamma=90.00
Space group C2/m (No. 12)
One atom of each set of equivalent atoms:
Tl 0.009 0.000 0.206 [4 per cell]
Tl 0.174 0.500 0.632 [4 per cell]
Co 0.213 0.500 0.040 [4 per cell]

Results
- DFT formation energy (meV per atom) = 391


(12)
Tb3Tm6Cd: relaxed, PBE-GGA.

Unit cell a=9.494 b=5.505 c=12.231 alpha=90.00 beta=110.75 gamma=90.00
Space group P2_1/m (No. 11)
One atom of each set of equivalent atoms:
Tb 0.026 0.250 0.374 [2 per cell]
Tb 0.102 0.750 0.223 [2 per cell]
Tb 0.272 0.250 0.972 [2 per cell]
Tm 0.038 0.750 0.930 [2 per cell]
Tm 0.197 0.250 0.671 [2 per cell]
Tm 0.265 0.750 0.515 [2 per cell]
Tm 0.348 0.250 0.298 [2 per cell]
Tm 0.349 0.750 0.826 [2 per cell]
Tm 0.426 0.750 0.139 [2 per cell]
Cd 0.468 0.250 0.584 [2 per cell]

Results
- DFT formation energy (meV per atom) = -31